Mg2CdFe after structural relaxation. Source: Alexandria, functional PBE-GGA.

Computed properties:
Calculated total energy = -2.56 eV per atom
Formation energy = 0.581 eV/atom
V = 18.7 Å³/atom
SG = I-42d (122)

Cell lengths 5.8801, 5.8801, 5.8801 Å; angles 103.03, 103.03, 123.30 degrees
Fractional positions:
Mg  0.0972  0.1250  0.4722
Mg  0.3750  0.9028  0.0278
Mg  0.6528  0.6250  0.5278
Mg  0.8750  0.3472  0.9722
Cd  0.2500  0.7500  0.5000
Cd  0.5000  0.5000  0.0000
Fe  0.0000  0.0000  0.0000
Fe  0.7500  0.2500  0.5000

MgCdFe2 after structural relaxation. Source: Alexandria, functional PBE-GGA.

Computed properties:
Calculated total energy = -4.73 eV per atom
Formation energy = 0.128 eV/atom
V = 16.1 Å³/atom
SG = P4mm (99)

Cell lengths 3.0675, 3.0675, 6.8325 Å; angles 90.00, 90.00, 90.00 degrees
Fractional positions:
Mg  0.0000  0.0000  0.0000
Cd  0.5000  0.5000  0.3168
Fe  0.0000  0.0000  0.5886
Fe  0.5000  0.5000  0.7429

MgCdFe4 after structural relaxation. Source: Alexandria, functional PBE-GGA.

Computed properties:
Calculated total energy = -5.90 eV per atom
Formation energy = 0.157 eV/atom
V = 14.4 Å³/atom
SG = F-43m (216)

Cell lengths 4.9574, 4.9574, 4.9574 Å; angles 60.00, 60.00, 60.00 degrees
Fractional positions:
Mg  0.0000  0.0000  0.0000
Cd  0.2500  0.2500  0.2500
Fe  0.1227  0.6258  0.6258
Fe  0.6258  0.1227  0.6258
Fe  0.6258  0.6258  0.1227
Fe  0.6258  0.6258  0.6258